1.
VASP calculation (PBE) on a geometry-optimized Ac6Hg2N structure.

Output
Space group = P2_1/c

a b c (Å): 7.1685 7.8738 11.2569
angles (deg): 90.00 90.21 90.00
Fractional coordinates of all 18 atoms:
Ac: 0.1173 0.0185 0.2630
Ac: 0.1710 0.2911 0.5462
Ac: 0.1876 0.3213 0.9539
Ac: 0.3124 0.8213 0.5461
Ac: 0.3290 0.7911 0.9538
Ac: 0.3827 0.5185 0.2370
Ac: 0.8827 0.9815 0.7370
Ac: 0.8290 0.7089 0.4538
Ac: 0.8124 0.6787 0.0461
Ac: 0.6876 0.1787 0.4539
Ac: 0.6710 0.2089 0.0461
Ac: 0.6173 0.4815 0.7630
Hg: 0.0690 0.5938 0.7438
Hg: 0.4310 0.0938 0.7562
Hg: 0.5690 0.9062 0.2438
Hg: 0.9310 0.4062 0.2562
N: 0.5000 0.5000 0.0000
N: 0.0000 0.0000 0.5000


2.
VASP calculation (PBE) on a geometry-optimized Ac3HgN structure.

Output
Space group = Pm-3m
Distance to the lowest polymorph of the same formula = 44.2 meV/atom

a b c (Å): 5.3412 5.3412 5.3412
angles (deg): 90.00 90.00 90.00
Fractional coordinates of all 5 atoms:
Ac: 0.0000 0.5000 0.0000
Ac: 0.0000 0.0000 0.5000
Ac: 0.5000 0.0000 0.0000
Hg: 0.5000 0.5000 0.5000
N: 0.0000 0.0000 0.0000


3.
VASP calculation (PBE) on a geometry-optimized Ac4HgN structure.

Output
Space group = P2_1
Distance to the lowest polymorph of the same formula = 0.0 meV/atom

a b c (Å): 5.6025 7.2781 10.2405
angles (deg): 90.00 105.85 90.00
Fractional coordinates of all 12 atoms:
Ac: 0.9061 0.2731 0.8121
Ac: 0.0939 0.7731 0.1879
Ac: 0.4767 0.9588 0.9534
Ac: 0.5233 0.4588 0.0466
Ac: 0.7090 0.5738 0.4175
Ac: 0.2910 0.0738 0.5825
Ac: 0.6605 0.0722 0.3220
Ac: 0.3395 0.5722 0.6780
Hg: 0.8949 0.7866 0.7893
Hg: 0.1051 0.2866 0.2107
N: 0.5945 0.7688 0.1915
N: 0.4055 0.2688 0.8085


4.
VASP calculation (PBE) on a geometry-optimized Ac3HgN structure.

Output
Space group = C2/c
Distance to the lowest polymorph of the same formula = 0.0 meV/atom

a b c (Å): 7.5327 7.5327 12.9989
angles (deg): 73.71 73.71 60.44
Fractional coordinates of all 20 atoms:
Ac: 0.8539 0.8554 0.8543
Ac: 0.1446 0.1461 0.6457
Ac: 0.1461 0.1446 0.1457
Ac: 0.8554 0.8539 0.3543
Ac: 0.6449 0.6462 0.6453
Ac: 0.3538 0.3551 0.8547
Ac: 0.3551 0.3538 0.3547
Ac: 0.6462 0.6449 0.1453
Ac: 0.3341 0.8344 0.9157
Ac: 0.1656 0.6659 0.5843
Ac: 0.8344 0.3341 0.4157
Ac: 0.6659 0.1656 0.0843
Hg: 0.8796 0.3819 0.8695
Hg: 0.6181 0.1204 0.6305
Hg: 0.1204 0.6181 0.1305
Hg: 0.3819 0.8796 0.3695
N: 0.0000 0.5000 0.5000
N: 0.5000 0.0000 0.0000
N: 0.7504 0.2496 0.2500
N: 0.2496 0.7504 0.7500


5.
VASP calculation (PBE) on a geometry-optimized Ac3NdHg2N structure.

Output
Space group = Immm

a b c (Å): 5.1740 5.3227 8.8070
angles (deg): 107.59 107.08 90.00
Fractional coordinates of all 7 atoms:
Ac: 0.0000 0.5000 0.0000
Ac: 0.1698 0.1698 0.3396
Ac: 0.8302 0.8302 0.6604
Nd: 0.5000 0.0000 0.0000
Hg: 0.6275 0.6275 0.2549
Hg: 0.3725 0.3725 0.7451
N: 0.0000 0.0000 0.0000


6.
VASP calculation (PBE) on a geometry-optimized Ac2Nd4Hg3N2 structure.

Output
Space group = I4/mmm

a b c (Å): 5.0168 5.0168 12.9901
angles (deg): 101.13 101.13 90.00
Fractional coordinates of all 11 atoms:
Ac: 0.3029 0.3029 0.6058
Ac: 0.6971 0.6971 0.3942
Nd: 0.4182 0.9182 0.8364
Nd: 0.9182 0.4182 0.8364
Nd: 0.0818 0.5818 0.1636
Nd: 0.5818 0.0818 0.1636
Hg: 0.0000 0.0000 0.0000
Hg: 0.1678 0.1678 0.3357
Hg: 0.8322 0.8322 0.6643
N: 0.3985 0.3985 0.7970
N: 0.6015 0.6015 0.2030


Number 1: ΔE_f (raw) -41 kJ per mole of atoms. Number 2: ΔE_f (raw) -58 kJ per mole of atoms. Number 3: ΔE_f (raw) -41 kJ per mole of atoms. Number 4: ΔE_f (raw) -63 kJ per mole of atoms. Number 5: ΔE_f (raw) -59 kJ per mole of atoms. Number 6: ΔE_f (raw) -64 kJ per mole of atoms.